Record 1
# GeBiCF2, relaxed, DFT PBE-GGA
# E_form (uncorrected), meV/atom: -246.5
# Crystal system: tetragonal
data_GeBiCF2
_cell_length_a 4.287
_cell_length_b 4.287
_cell_length_c 3.851
_cell_angle_alpha 90.00
_cell_angle_beta 90.00
_cell_angle_gamma 90.00
_symmetry_space_group_name_H-M 'P 1'
_symmetry_Int_Tables_number 1
loop_
_symmetry_equiv_pos_as_xyz
'x,y,z'
loop_
_atom_site_label
_atom_site_type_symbol
_atom_site_fract_x
_atom_site_fract_y
_atom_site_fract_z
Ge1 Ge 0.000 0.000 0.000
Bi1 Bi 0.500 0.500 0.500
C1 C 0.000 0.000 0.500
F1 F 0.000 0.500 0.000
F2 F 0.500 0.000 0.000



Record 2
# Ta2CrRe, relaxed, DFT PBE-GGA
# Crystal system: tetragonal
# Energy relative to the elements, eV per formula unit: 2.859
data_Ta2CrRe
_cell_length_a 5.679
_cell_length_b 5.679
_cell_length_c 5.679
_cell_angle_alpha 103.29
_cell_angle_beta 103.29
_cell_angle_gamma 122.70
_symmetry_space_group_name_H-M 'P 1'
_symmetry_Int_Tables_number 1
loop_
_symmetry_equiv_pos_as_xyz
'x,y,z'
loop_
_atom_site_label
_atom_site_type_symbol
_atom_site_fract_x
_atom_site_fract_y
_atom_site_fract_z
Ta1 Ta 0.116 0.125 0.491
Ta2 Ta 0.375 0.884 0.009
Ta3 Ta 0.634 0.625 0.509
Ta4 Ta 0.875 0.366 0.991
Cr1 Cr 0.000 0.000 0.000
Cr2 Cr 0.750 0.250 0.500
Re1 Re 0.250 0.750 0.500
Re2 Re 0.500 0.500 0.000



Record 3
# Pu3TcSn, relaxed, DFT PBE-GGA
# Crystal system: triclinic
# Energy relative to the elements, eV per formula unit: -0.217
data_Pu3TcSn
_cell_length_a 5.251
_cell_length_b 6.192
_cell_length_c 7.193
_cell_angle_alpha 89.92
_cell_angle_beta 85.32
_cell_angle_gamma 81.58
_symmetry_space_group_name_H-M 'P 1'
_symmetry_Int_Tables_number 1
loop_
_symmetry_equiv_pos_as_xyz
'x,y,z'
loop_
_atom_site_label
_atom_site_type_symbol
_atom_site_fract_x
_atom_site_fract_y
_atom_site_fract_z
Pu1 Pu 0.186 0.251 0.077
Pu2 Pu 0.235 0.403 0.562
Pu3 Pu 0.271 0.983 0.614
Pu4 Pu 0.729 0.017 0.386
Pu5 Pu 0.765 0.597 0.438
Pu6 Pu 0.814 0.749 0.923
Tc1 Tc 0.360 0.639 0.845
Tc2 Tc 0.640 0.361 0.155
Sn1 Sn 0.277 0.756 0.218
Sn2 Sn 0.723 0.244 0.782



Record 4
# Pm5InPb4, relaxed, DFT PBE-GGA
# Crystal system: tetragonal
# Energy relative to the elements, eV per formula unit: -4.988
data_Pm5InPb4
_cell_length_a 3.577
_cell_length_b 3.577
_cell_length_c 22.951
_cell_angle_alpha 90.00
_cell_angle_beta 90.00
_cell_angle_gamma 90.00
_symmetry_space_group_name_H-M 'P 1'
_symmetry_Int_Tables_number 1
loop_
_symmetry_equiv_pos_as_xyz
'x,y,z'
loop_
_atom_site_label
_atom_site_type_symbol
_atom_site_fract_x
_atom_site_fract_y
_atom_site_fract_z
Pm1 Pm 0.000 0.000 0.000
Pm2 Pm 0.000 0.000 0.202
Pm3 Pm 0.000 0.000 0.404
Pm4 Pm 0.000 0.000 0.596
Pm5 Pm 0.000 0.000 0.798
In1 In 0.500 0.500 0.500
Pb1 Pb 0.500 0.500 0.101
Pb2 Pb 0.500 0.500 0.302
Pb3 Pb 0.500 0.500 0.698
Pb4 Pb 0.500 0.500 0.899



Record 5
# Ce4Tl2In3, relaxed, DFT PBE-GGA
# Crystal system: monoclinic
# Energy relative to the elements, eV per formula unit: -2.402
data_Ce4Tl2In3
_cell_length_a 5.818
_cell_length_b 5.818
_cell_length_c 9.954
_cell_angle_alpha 100.56
_cell_angle_beta 100.56
_cell_angle_gamma 48.48
_symmetry_space_group_name_H-M 'P 1'
_symmetry_Int_Tables_number 1
loop_
_symmetry_equiv_pos_as_xyz
'x,y,z'
loop_
_atom_site_label
_atom_site_type_symbol
_atom_site_fract_x
_atom_site_fract_y
_atom_site_fract_z
Ce1 Ce 0.020 0.020 0.144
Ce2 Ce 0.319 0.319 0.606
Ce3 Ce 0.681 0.681 0.394
Ce4 Ce 0.980 0.980 0.856
Tl1 Tl 0.360 0.360 0.283
Tl2 Tl 0.640 0.640 0.717
In1 In 0.000 0.000 0.500
In2 In 0.317 0.317 0.955
In3 In 0.683 0.683 0.045



Record 6
# PrDy7Ho4, relaxed, DFT PBE-GGA
# Crystal system: triclinic
# E above lowest polymorph, eV/atom: 0.000
# Energy relative to the elements, eV per formula unit: -0.017
data_PrDy7Ho4
_cell_length_a 6.195
_cell_length_b 7.159
_cell_length_c 8.818
_cell_angle_alpha 90.01
_cell_angle_beta 103.57
_cell_angle_gamma 90.00
_symmetry_space_group_name_H-M 'P 1'
_symmetry_Int_Tables_number 1
loop_
_symmetry_equiv_pos_as_xyz
'x,y,z'
loop_
_atom_site_label
_atom_site_type_symbol
_atom_site_fract_x
_atom_site_fract_y
_atom_site_fract_z
Pr1 Pr 0.000 0.000 0.000
Dy1 Dy 0.000 0.500 0.000
Dy2 Dy 0.223 0.000 0.665
Dy3 Dy 0.279 0.748 0.336
Dy4 Dy 0.500 0.251 0.000
Dy5 Dy 0.500 0.749 0.000
Dy6 Dy 0.721 0.252 0.664
Dy7 Dy 0.777 0.000 0.335
Ho1 Ho 0.221 0.500 0.665
Ho2 Ho 0.279 0.251 0.336
Ho3 Ho 0.721 0.749 0.664
Ho4 Ho 0.779 0.500 0.335



Record 7
# LaZr2Sc6, relaxed, DFT PBE-GGA
# Crystal system: hexagonal
# Energy relative to the elements, eV per formula unit: 0.639
data_LaZr2Sc6
_cell_length_a 3.313
_cell_length_b 3.313
_cell_length_c 24.155
_cell_angle_alpha 90.00
_cell_angle_beta 90.00
_cell_angle_gamma 120.00
_symmetry_space_group_name_H-M 'P 1'
_symmetry_Int_Tables_number 1
loop_
_symmetry_equiv_pos_as_xyz
'x,y,z'
loop_
_atom_site_label
_atom_site_type_symbol
_atom_site_fract_x
_atom_site_fract_y
_atom_site_fract_z
La1 La 0.000 0.000 0.000
Zr1 Zr 0.667 0.333 0.334
Zr2 Zr 0.667 0.333 0.666
Sc1 Sc 0.000 0.000 0.229
Sc2 Sc 0.000 0.000 0.437
Sc3 Sc 0.000 0.000 0.563
Sc4 Sc 0.000 0.000 0.771
Sc5 Sc 0.667 0.333 0.122
Sc6 Sc 0.667 0.333 0.878



Record 8
# ZrInCuIr, relaxed, DFT PBE-GGA
# Crystal system: cubic
# Energy relative to the elements, eV per formula unit: -1.629
data_ZrInCuIr
_cell_length_a 4.617
_cell_length_b 4.617
_cell_length_c 4.617
_cell_angle_alpha 60.00
_cell_angle_beta 60.00
_cell_angle_gamma 60.00
_symmetry_space_group_name_H-M 'P 1'
_symmetry_Int_Tables_number 1
loop_
_symmetry_equiv_pos_as_xyz
'x,y,z'
loop_
_atom_site_label
_atom_site_type_symbol
_atom_site_fract_x
_atom_site_fract_y
_atom_site_fract_z
Zr1 Zr 0.000 0.000 0.000
In1 In 0.500 0.500 0.500
Cu1 Cu 0.250 0.250 0.250
Ir1 Ir 0.750 0.750 0.750



Calculated values (A^3/atom) of calculated volume for the records, taken in order: 14.2 16.9 23.1 29.4 27.5 31.7 25.5 17.4.